Entry 1:
Density functional theory data (PBE) for a relaxed Ca2TeW crystal.

POSCAR file:
```
Ca2TeW
1.0
-1.427 -2.985 5.566
-4.605 -4.549 0.176
5.685 2.037 -2.337
Ca Te W
2 1 1
Cartesian
-0.184 -0.230 0.175 Ca
0.763 -2.180 2.915 Ca
-2.794 -3.489 2.659 Te
-1.148 -3.364 0.526 W
```

Values from the calculation:
Total energy   -19.1 eV per cell
Crystal system   orthorhombic
Polymorph energy (0 for the lowest one)   36 meV per atom
Density of states at the Fermi level   3.65 states/eV per cell
Space-group type   Imm2, No. 44
Energy relative to the elements, uncorrected   0.2397 eV/atom



Entry 2:
Density functional theory data (PBE) for a relaxed Hf5Sn3 crystal.

POSCAR file:
```
Hf5Sn3
1.0
-1.784 -4.573 -3.878
-0.299 -2.397 5.770
-8.913 2.860 0.727
Hf Sn
10 6
Cartesian
-7.568 -0.151 -1.255 Hf
-3.427 -3.960 3.875 Hf
-6.865 0.879 3.313 Hf
-4.130 -4.990 -0.693 Hf
-8.729 -4.699 2.403 Hf
-2.266 0.588 0.216 Hf
-9.212 0.755 1.248 Hf
-1.783 -4.866 1.372 Hf
-5.638 -3.629 1.686 Hf
-5.357 -0.482 0.933 Hf
-0.612 -2.857 3.732 Sn
-1.470 -4.113 -1.839 Sn
-5.926 -2.683 -1.476 Sn
-5.069 -1.427 4.095 Sn
-7.856 -1.776 1.610 Sn
-3.139 -2.334 1.010 Sn
```

Values from the calculation:
Total energy   -128.0 eV per cell
Energy of formation   -0.278 eV per atom
Crystal system   orthorhombic
Polymorph energy (0 for the lowest one)   107 meV per atom
Density of states at the Fermi level   9.14 states/eV per cell
Space-group type   Cmcm, No. 63



Entry 3:
Density functional theory data (PBE) for a relaxed PrDyNp2S4 crystal.

POSCAR file:
```
PrDyNp2S4
1.0
-3.948 -0.031 -0.359
-0.534 -3.120 6.140
-0.130 6.761 0.848
Pr Dy Np S
1 1 2 4
Cartesian
0.000 0.000 0.000 Pr
-2.241 -1.576 2.890 Dy
-2.039 3.365 0.245 Np
-0.332 1.820 3.494 Np
-2.148 0.923 1.652 S
-2.464 2.687 4.977 S
-0.233 4.250 2.199 S
-0.431 -0.609 4.789 S
```

Values from the calculation:
Total energy   -65.1 eV per cell
Crystal system   monoclinic
Density of states at the Fermi level   19.45 states/eV per cell
Space-group type   P2/m, No. 10
Energy relative to the elements, uncorrected   -1.6648 eV/atom



Entry 4:
Density functional theory data (PBE) for a relaxed TlTeAu2 crystal.

POSCAR file:
```
TlTeAu2
1.0
-4.031 -0.923 2.004
2.314 -1.651 3.894
0.599 3.820 2.965
Au Te Tl
2 1 1
Cartesian
0.079 0.048 0.181 Au
-1.317 0.066 2.651 Au
1.311 0.975 3.087 Te
0.264 1.242 6.372 Tl
```

Values from the calculation:
Total energy   -12.1 eV per cell
Crystal system   monoclinic
Polymorph energy (0 for the lowest one)   2 meV per atom
Density of states at the Fermi level   2.22 states/eV per cell
Space-group type   Pm, No. 6
Energy relative to the elements, uncorrected   -0.0134 eV/atom



Entry 5:
Density functional theory data (PBE) for a relaxed PIrW2 crystal.

POSCAR file:
```
PIrW2
1.0
8.598 -1.420 0.005
8.598 1.420 0.005
8.362 0.000 2.453
P Ir W
1 1 2
Cartesian
6.371 0.000 0.614 P
12.917 0.000 1.244 Ir
25.363 0.000 2.443 W
19.244 0.000 1.854 W
```

Values from the calculation:
Total energy   -39.7 eV per cell
Energy of formation   0.117 eV per atom
Crystal system   trigonal
Density of states at the Fermi level   4.12 states/eV per cell
Space-group type   R3m, No. 160



Entry 6:
Density functional theory data (PBE) for a relaxed OsRuPt2 crystal.

POSCAR file:
```
OsRuPt2
1.0
0.000 3.121 3.121
3.121 0.000 3.121
3.121 3.121 0.000
Ru Os Pt
1 1 2
Cartesian
0.000 0.000 0.000 Ru
3.121 3.121 3.121 Os
1.561 1.561 1.561 Pt
4.682 4.682 4.682 Pt
```

Values from the calculation:
Total energy   -30.6 eV per cell
Energy of formation   0.496 eV per atom
Crystal system   cubic
Polymorph energy (0 for the lowest one)   506 meV per atom
Density of states at the Fermi level   7.96 states/eV per cell
Space-group type   Fm-3m, No. 225